Density functional theory data (PBE with a Hubbard U) for an optimized crystal structure of Na3LiCoTeO6.

Summary:
crystal system: monoclinic
total moment: 3.0 μB/f.u.
energy above the lowest structure with this stoichiometry: 19 meV/atom

Geometry as CIF:
```
data_Na3LiCoTeO6
_chemical_formula_sum 'Na6 Li2 Co2 Te2 O12'
_cell_length_a 5.4229
_cell_length_b 9.4265
_cell_length_c 5.4433
_cell_angle_alpha 90.00
_cell_angle_beta 107.56
_cell_angle_gamma 90.00
_space_group_name_H-M_alt 'C 1 2 1'
_space_group_IT_number 5
_space_group_name_Hall 'C 2y'
loop_
_atom_site_label
_atom_site_type_symbol
_atom_site_fract_x
_atom_site_fract_y
_atom_site_fract_z
Na1 Na 0.0000 0.0000 0.0000
Na2 Na 0.0000 0.1467 0.5000
Na3 Na 0.0000 0.8302 0.5000
Li1 Li 0.0000 0.4635 0.5000
Co1 Co 0.0000 0.6673 0.0000
Te1 Te 0.0000 0.3345 0.0000
O1 O 0.1892 0.4880 0.2277
O2 O 0.2277 0.3266 0.7796
O3 O 0.2294 0.1898 0.2062
```